Model P:
DFT (PBE-GGA) results for a relaxed structure of Ag2BiSb2.

The structure in CIF format:
```
data_Ag2BiSb2
_cell_length_a 8.773
_cell_length_b 8.773
_cell_length_c 3.297
_cell_angle_alpha 90.00
_cell_angle_beta 90.00
_cell_angle_gamma 90.00
_symmetry_space_group_name_H-M 'P 1'
_symmetry_Int_Tables_number 1
_symmetry_space_group_name_Hall 'P 1'
loop_
_atom_site_label
_atom_site_type_symbol
_atom_site_fract_x
_atom_site_fract_y
_atom_site_fract_z
_atom_site_occupancy
Sb1 Sb 0.819 0.681 0.000 1
Ag1 Ag 0.616 0.884 0.500 1
Bi1 Bi 0.500 0.500 0.000 1
Sb2 Sb 0.681 0.181 0.000 1
Sb3 Sb 0.181 0.319 0.000 1
Ag2 Ag 0.884 0.384 0.500 1
Ag3 Ag 0.384 0.116 0.500 1
Sb4 Sb 0.319 0.819 0.000 1
Bi2 Bi 0.000 0.000 0.000 1
Ag4 Ag 0.116 0.616 0.500 1
```

Summary:
Total magnetic moment (μB/cell): 0.000

---

Model Q:
DFT (PBE-GGA) results for a relaxed structure of Ag2BiSb2.

The structure in CIF format:
```
data_Ag2BiSb2
_cell_length_a 4.041
_cell_length_b 4.041
_cell_length_c 8.378
_cell_angle_alpha 76.05
_cell_angle_beta 76.05
_cell_angle_gamma 90.00
_symmetry_space_group_name_H-M 'P 1'
_symmetry_Int_Tables_number 1
_symmetry_space_group_name_Hall 'P 1'
loop_
_atom_site_label
_atom_site_type_symbol
_atom_site_fract_x
_atom_site_fract_y
_atom_site_fract_z
_atom_site_occupancy
Ag1 Ag 0.750 0.250 0.500 1
Sb1 Sb 0.388 0.388 0.224 1
Bi1 Bi 0.000 0.000 0.000 1
Sb2 Sb 0.612 0.612 0.776 1
Ag2 Ag 0.250 0.750 0.500 1
```

Summary:
Total magnetic moment (μB/cell): 0.000

---

Which of them is the most stable, and which is the least stable? model P and model Q, in that order.

---

Model P:
DFT (PBE-GGA) results for a relaxed structure of ScAg3Bi.

The structure in CIF format:
```
data_ScAg3Bi
_cell_length_a 5.140
_cell_length_b 5.140
_cell_length_c 5.140
_cell_angle_alpha 90.00
_cell_angle_beta 90.00
_cell_angle_gamma 90.00
_symmetry_space_group_name_H-M 'P 1'
_symmetry_Int_Tables_number 1
_symmetry_space_group_name_Hall 'P 1'
loop_
_atom_site_label
_atom_site_type_symbol
_atom_site_fract_x
_atom_site_fract_y
_atom_site_fract_z
_atom_site_occupancy
Ag1 Ag 0.000 0.000 0.500 1
Ag2 Ag 0.000 0.500 0.000 1
Ag3 Ag 0.500 0.000 0.000 1
Sc1 Sc 0.000 0.000 0.000 1
Bi1 Bi 0.500 0.500 0.500 1
```

Summary:
Total magnetic moment (μB/cell): 0.000

---

Model Q:
DFT (PBE-GGA) results for a relaxed structure of ScAg3Bi.

The structure in CIF format:
```
data_ScAg3Bi
_cell_length_a 5.316
_cell_length_b 5.316
_cell_length_c 5.316
_cell_angle_alpha 90.00
_cell_angle_beta 90.00
_cell_angle_gamma 90.00
_symmetry_space_group_name_H-M 'P 1'
_symmetry_Int_Tables_number 1
_symmetry_space_group_name_Hall 'P 1'
loop_
_atom_site_label
_atom_site_type_symbol
_atom_site_fract_x
_atom_site_fract_y
_atom_site_fract_z
_atom_site_occupancy
Ag1 Ag 0.000 0.000 0.500 1
Ag2 Ag 0.500 0.000 0.000 1
Sc1 Sc 0.500 0.500 0.500 1
Ag3 Ag 0.000 0.500 0.000 1
Bi1 Bi 0.000 0.000 0.000 1
```

Summary:
Total magnetic moment (μB/cell): 1.340

---

Which of them is the most stable, and which is the least stable? model Q and model P, in that order.

---

Model P:
DFT (PBE-GGA) results for a relaxed structure of Ag2BiSe3.

The structure in CIF format:
```
data_Ag2BiSe3
_cell_length_a 5.685
_cell_length_b 8.342
_cell_length_c 12.475
_cell_angle_alpha 90.00
_cell_angle_beta 90.00
_cell_angle_gamma 90.00
_symmetry_space_group_name_H-M 'P 1'
_symmetry_Int_Tables_number 1
_symmetry_space_group_name_Hall 'P 1'
loop_
_atom_site_label
_atom_site_type_symbol
_atom_site_fract_x
_atom_site_fract_y
_atom_site_fract_z
_atom_site_occupancy
Ag1 Ag 0.750 0.641 0.914 1
Ag2 Ag 0.750 0.141 0.586 1
Se1 Se 0.750 0.857 0.067 1
Bi1 Bi 0.750 0.154 0.921 1
Ag3 Ag 0.250 0.880 0.753 1
Se2 Se 0.750 0.357 0.433 1
Bi2 Bi 0.750 0.654 0.579 1
Se3 Se 0.750 0.860 0.398 1
Bi3 Bi 0.250 0.846 0.079 1
Se4 Se 0.750 0.360 0.102 1
Se5 Se 0.250 0.083 0.270 1
Ag4 Ag 0.250 0.359 0.086 1
Se6 Se 0.250 0.140 0.602 1
Se7 Se 0.250 0.643 0.567 1
Bi4 Bi 0.250 0.346 0.421 1
Ag5 Ag 0.750 0.120 0.247 1
Ag6 Ag 0.250 0.859 0.414 1
Se8 Se 0.250 0.583 0.230 1
Se9 Se 0.750 0.917 0.730 1
Se10 Se 0.250 0.143 0.933 1
Ag7 Ag 0.750 0.620 0.253 1
Se11 Se 0.750 0.417 0.770 1
Ag8 Ag 0.250 0.380 0.747 1
Se12 Se 0.250 0.640 0.898 1
```

Summary:
Total magnetic moment (μB/cell): 0.000

---

Model Q:
DFT (PBE-GGA) results for a relaxed structure of Ag2BiSe3.

The structure in CIF format:
```
data_Ag2BiSe3
_cell_length_a 5.443
_cell_length_b 8.179
_cell_length_c 8.179
_cell_angle_alpha 120.68
_cell_angle_beta 90.00
_cell_angle_gamma 90.00
_symmetry_space_group_name_H-M 'P 1'
_symmetry_Int_Tables_number 1
_symmetry_space_group_name_Hall 'P 1'
loop_
_atom_site_label
_atom_site_type_symbol
_atom_site_fract_x
_atom_site_fract_y
_atom_site_fract_z
_atom_site_occupancy
Ag1 Ag 0.000 0.796 0.796 1
Se1 Se 0.250 0.873 0.127 1
Se2 Se 0.750 0.160 0.456 1
Se3 Se 0.250 0.840 0.544 1
Se4 Se 0.750 0.544 0.840 1
Bi1 Bi 0.250 0.245 0.755 1
Ag2 Ag 0.000 0.204 0.204 1
Ag3 Ag 0.500 0.204 0.204 1
Se5 Se 0.750 0.127 0.873 1
Ag4 Ag 0.500 0.796 0.796 1
Bi2 Bi 0.750 0.755 0.245 1
Se6 Se 0.250 0.456 0.160 1
```

Summary:
Total magnetic moment (μB/cell): 0.000

---

Which of them is the most stable, and which is the least stable? model P and model Q, in that order.

---

Model P:
DFT (PBE-GGA) results for a relaxed structure of AgBi3Se.

The structure in CIF format:
```
data_AgBi3Se
_cell_length_a 5.591
_cell_length_b 5.591
_cell_length_c 5.591
_cell_angle_alpha 90.00
_cell_angle_beta 90.00
_cell_angle_gamma 90.00
_symmetry_space_group_name_H-M 'P 1'
_symmetry_Int_Tables_number 1
_symmetry_space_group_name_Hall 'P 1'
loop_
_atom_site_label
_atom_site_type_symbol
_atom_site_fract_x
_atom_site_fract_y
_atom_site_fract_z
_atom_site_occupancy
Bi1 Bi 0.000 0.000 0.500 1
Bi2 Bi 0.000 0.500 0.000 1
Bi3 Bi 0.500 0.000 0.000 1
Se1 Se 0.000 0.000 0.000 1
Ag1 Ag 0.500 0.500 0.500 1
```

Summary:
Total magnetic moment (μB/cell): 0.000

---

Model Q:
DFT (PBE-GGA) results for a relaxed structure of AgBi3Se.

The structure in CIF format:
```
data_AgBi3Se
_cell_length_a 5.496
_cell_length_b 5.496
_cell_length_c 5.496
_cell_angle_alpha 90.00
_cell_angle_beta 90.00
_cell_angle_gamma 90.00
_symmetry_space_group_name_H-M 'P 1'
_symmetry_Int_Tables_number 1
_symmetry_space_group_name_Hall 'P 1'
loop_
_atom_site_label
_atom_site_type_symbol
_atom_site_fract_x
_atom_site_fract_y
_atom_site_fract_z
_atom_site_occupancy
Bi1 Bi 0.000 0.000 0.500 1
Bi2 Bi 0.000 0.500 0.000 1
Bi3 Bi 0.500 0.000 0.000 1
Ag1 Ag 0.000 0.000 0.000 1
Se1 Se 0.500 0.500 0.500 1
```

Summary:
Total magnetic moment (μB/cell): 0.000

---

Which of them is the most stable, and which is the least stable? model P and model Q, in that order.